Entry 1:
# PBE-GGA NdY8Sc4, relaxed
data_NdY8Sc4
_chemical_formula_sum 'Nd3 Y24 Sc12'
_cell_length_a 7.1469
_cell_length_b 7.1469
_cell_length_c 26.6607
_cell_angle_alpha 90.00
_cell_angle_beta 90.00
_cell_angle_gamma 120.00
_space_group_name_H-M_alt 'R -3 m'
_space_group_IT_number 166
_space_group_name_Hall '-R 3 2"'
loop_
_atom_site_label
_atom_site_fract_x
_atom_site_fract_y
_atom_site_fract_z
_atom_site_occupancy
Nd1 0.0000 0.0000 0.0000 1
Y1 0.0000 0.0000 0.2812 1
Y2 0.0311 0.5156 0.2638 1
Sc1 0.0000 0.0000 0.5000 1
Sc2 0.0000 0.5000 0.5000 1
# - DFT total energy (eV/atom) = -6.04
# - crystal system = trigonal
# - volume (Å³/atom) = 30.2
# - energy of formation from the pure elements (eV/atom) = 0.251

=====

Entry 2:
# PBE-GGA ZnHgMo2, relaxed
data_ZnHgMo2
_chemical_formula_sum 'Zn1 Hg1 Mo2'
_cell_length_a 2.7479
_cell_length_b 2.7479
_cell_length_c 8.7698
_cell_angle_alpha 90.00
_cell_angle_beta 90.00
_cell_angle_gamma 90.00
_space_group_name_H-M_alt 'P 4/m m m'
_space_group_IT_number 123
_space_group_name_Hall '-P 4 2'
loop_
_atom_site_label
_atom_site_fract_x
_atom_site_fract_y
_atom_site_fract_z
_atom_site_occupancy
Zn1 0.0000 0.0000 0.0000 1
Hg1 0.0000 0.0000 0.5000 1
Mo1 0.5000 0.5000 0.2330 1
# - DFT total energy (eV/atom) = -5.40
# - crystal system = tetragonal
# - volume (Å³/atom) = 16.6
# - energy of formation from the pure elements (eV/atom) = 0.410
# - distance to the lowest polymorph of the same formula (meV per atom) = 141

=====

Entry 3:
# PBE-GGA Nb5AlN, relaxed
data_Nb5AlN
_chemical_formula_sum 'Nb20 Al4 N4'
_cell_length_a 7.4253
_cell_length_b 7.9741
_cell_length_c 7.7874
_cell_angle_alpha 90.00
_cell_angle_beta 99.63
_cell_angle_gamma 90.00
_space_group_name_H-M_alt 'C 1 2/c 1'
_space_group_IT_number 15
_space_group_name_Hall '-C 2yc'
loop_
_atom_site_label
_atom_site_fract_x
_atom_site_fract_y
_atom_site_fract_z
_atom_site_occupancy
Nb1 0.0000 0.1051 0.2500 1
Nb2 0.1230 0.2423 0.6279 1
Nb3 0.2304 0.4125 0.0210 1
Al1 0.0000 0.4422 0.2500 1
N1 0.0000 0.0000 0.0000 1
# - DFT total energy (eV/atom) = -9.31
# - ΔE_f (raw) (eV/atom) = -0.389
# - crystal system = monoclinic
# - volume (Å³/atom) = 16.2

=====

Entry 4:
# PBE-GGA SrGa4O7, relaxed
data_SrGa4O7
_chemical_formula_sum 'Sr2 Ga8 O14'
_cell_length_a 13.3013
_cell_length_b 5.3224
_cell_length_c 5.0628
_cell_angle_alpha 90.00
_cell_angle_beta 90.00
_cell_angle_gamma 90.00
_space_group_name_H-M_alt 'P m n 21'
_space_group_IT_number 31
_space_group_name_Hall 'P 2ac -2'
loop_
_atom_site_label
_atom_site_fract_x
_atom_site_fract_y
_atom_site_fract_z
_atom_site_occupancy
Sr1 0.0000 0.1184 0.0000 1
Ga1 0.1181 0.6657 0.4458 1
Ga2 0.2487 0.1782 0.4278 1
O1 0.0000 0.7986 0.3226 1
O2 0.1254 0.7499 0.8003 1
O3 0.1290 0.3323 0.3495 1
O4 0.2290 0.8447 0.2968 1
# - DFT total energy (eV/atom) = -6.08
# - ΔE_f (raw) (eV/atom) = -2.034
# - crystal system = orthorhombic
# - volume (Å³/atom) = 14.9
# - distance to the lowest polymorph of the same formula (meV per atom) = 61

=====

Entry 5:
# PBE-GGA CaNbSb, relaxed
data_CaNbSb
_chemical_formula_sum 'Ca2 Nb2 Sb2'
_cell_length_a 3.6820
_cell_length_b 3.6820
_cell_length_c 10.9600
_cell_angle_alpha 90.00
_cell_angle_beta 90.00
_cell_angle_gamma 90.00
_space_group_name_H-M_alt 'I 4 m m'
_space_group_IT_number 107
_space_group_name_Hall 'I 4 -2'
loop_
_atom_site_label
_atom_site_fract_x
_atom_site_fract_y
_atom_site_fract_z
_atom_site_occupancy
Ca1 0.0000 0.0000 0.0000 1
Nb1 0.0000 0.0000 0.3046 1
Sb1 0.0000 0.0000 0.6988 1
# - DFT total energy (eV/atom) = -5.49
# - ΔE_f (raw) (eV/atom) = -0.094
# - crystal system = tetragonal
# - volume (Å³/atom) = 24.8

=====

Entry 6:
# PBE-GGA La2Cl, relaxed
data_La2Cl
_chemical_formula_sum 'La4 Cl2'
_cell_length_a 5.5359
_cell_length_b 5.5359
_cell_length_c 6.3914
_cell_angle_alpha 90.00
_cell_angle_beta 90.00
_cell_angle_gamma 120.00
_space_group_name_H-M_alt 'P 63/m m c'
_space_group_IT_number 194
_space_group_name_Hall '-P 6c 2c'
loop_
_atom_site_label
_atom_site_fract_x
_atom_site_fract_y
_atom_site_fract_z
_atom_site_occupancy
La1 0.0000 0.0000 0.0000 1
La2 0.3333 0.6667 0.2500 1
Cl1 0.3333 0.6667 0.7500 1
# - DFT total energy (eV/atom) = -4.36
# - ΔE_f (raw) (eV/atom) = -0.456
# - crystal system = hexagonal
# - volume (Å³/atom) = 28.3
# - distance to the lowest polymorph of the same formula (meV per atom) = 549

=====

Entry 7:
# PBE-GGA Sm3AlCu2Pt9, relaxed
data_Sm3AlCu2Pt9
_chemical_formula_sum 'Sm3 Al1 Cu2 Pt9'
_cell_length_a 7.5897
_cell_length_b 7.5897
_cell_length_c 6.0452
_cell_angle_alpha 90.00
_cell_angle_beta 90.00
_cell_angle_gamma 120.00
_space_group_name_H-M_alt 'P -3 m 1'
_space_group_IT_number 164
_space_group_name_Hall '-P 3 2"'
loop_
_atom_site_label
_atom_site_fract_x
_atom_site_fract_y
_atom_site_fract_z
_atom_site_occupancy
Sm1 0.0000 0.0000 0.0000 1
Sm2 0.3333 0.6667 0.6711 1
Al1 0.0000 0.0000 0.5000 1
Cu1 0.3333 0.6667 0.1681 1
Pt1 0.0000 0.5000 0.0000 1
Pt2 0.1648 0.3296 0.3309 1
# - DFT total energy (eV/atom) = -5.82
# - crystal system = trigonal
# - volume (Å³/atom) = 20.1
# - energy of formation from the pure elements (eV/atom) = -0.456

=====

Entry 8:
# PBE-GGA HgMoAu2, relaxed
data_HgMoAu2
_chemical_formula_sum 'Hg1 Mo1 Au2'
_cell_length_a 2.8109
_cell_length_b 4.4958
_cell_length_c 5.9639
_cell_angle_alpha 90.00
_cell_angle_beta 103.55
_cell_angle_gamma 90.00
_space_group_name_H-M_alt 'P 1 m 1'
_space_group_IT_number 6
_space_group_name_Hall 'P -2y'
loop_
_atom_site_label
_atom_site_fract_x
_atom_site_fract_y
_atom_site_fract_z
_atom_site_occupancy
Hg1 0.0000 0.0000 0.0000 1
Mo1 0.6471 0.5000 0.2971 1
Au1 0.2381 0.0000 0.4825 1
Au2 0.3855 0.5000 0.7716 1
# - DFT total energy (eV/atom) = -4.04
# - crystal system = monoclinic
# - volume (Å³/atom) = 18.3
# - energy of formation from the pure elements (eV/atom) = 0.379

=====

Entry 9:
# PBE-GGA LaAl3Ag, relaxed
data_LaAl3Ag
_chemical_formula_sum 'La4 Al12 Ag4'
_cell_length_a 6.3678
_cell_length_b 10.8457
_cell_length_c 6.1406
_cell_angle_alpha 90.00
_cell_angle_beta 90.00
_cell_angle_gamma 90.00
_space_group_name_H-M_alt 'C m c m'
_space_group_IT_number 63
_space_group_name_Hall '-C 2c 2'
loop_
_atom_site_label
_atom_site_fract_x
_atom_site_fract_y
_atom_site_fract_z
_atom_site_occupancy
La1 0.0000 0.2432 0.2500 1
Al1 0.0000 0.3449 0.7500 1
Al2 0.2214 0.5000 0.0000 1
Ag1 0.0000 0.1094 0.7500 1
# - DFT total energy (eV/atom) = -4.24
# - crystal system = orthorhombic
# - volume (Å³/atom) = 21.2
# - energy of formation from the pure elements (eV/atom) = -0.436
# - distance to the lowest polymorph of the same formula (meV per atom) = 0

=====

Entry 10:
# PBE-GGA HfCrAgOs2, relaxed
data_HfCrAgOs2
_chemical_formula_sum 'Hf1 Cr1 Ag1 Os2'
_cell_length_a 4.4349
_cell_length_b 4.4349
_cell_length_c 4.7040
_cell_angle_alpha 90.00
_cell_angle_beta 90.00
_cell_angle_gamma 90.00
_space_group_name_H-M_alt 'P 4/m m m'
_space_group_IT_number 123
_space_group_name_Hall '-P 4 2'
loop_
_atom_site_label
_atom_site_fract_x
_atom_site_fract_y
_atom_site_fract_z
_atom_site_occupancy
Hf1 0.0000 0.0000 0.0000 1
Cr1 0.5000 0.5000 0.5000 1
Ag1 0.5000 0.5000 0.0000 1
Os1 0.0000 0.5000 0.5000 1
# - DFT total energy (eV/atom) = -7.88
# - crystal system = tetragonal
# - volume (Å³/atom) = 18.5
# - energy of formation from the pure elements (eV/atom) = 1.098